# NiRuS (PBE-GGA, optimized geometry)
# DOS at the Fermi energy = 2.59 states/eV/f.u.
# Spin magnetization = 0.0 Bohr magnetons per cell
# Formation energy without anion corrections = 5.2 kJ/mol of formula units
# Volume = 13.532 A^3/atom
# Energy above the most stable polymorph in this dataset = 0.497 eV per formula unit
data_NiRuS
_symmetry_space_group_name_H-M 'P -6 m 2'
_symmetry_Int_Tables_number 187
_symmetry_space_group_name_Hall 'P -6 2'
_cell_length_a 3.2247
_cell_length_b 3.2247
_cell_length_c 9.0132
_cell_angle_alpha 90.00
_cell_angle_beta 90.00
_cell_angle_gamma 120.00
loop_
_atom_site_label
_atom_site_fract_x
_atom_site_fract_y
_atom_site_fract_z
Ni1 0.0000 0.0000 0.1363
Ru1 0.6667 0.3333 0.3487
S1 0.0000 0.0000 0.5000
S2 0.6667 0.3333 0.0000